No. 1
Material: CaSc2In2
Method: DFT, PBE-GGA
State: optimized geometry

a b c (Å): 7.447 7.447 7.447
angles (deg): 144.41 144.41 51.21
Sites, in units of the cell vectors:
Ca  0.000  0.000  0.000
Sc  0.250  0.750  0.500
Sc  0.750  0.250  0.500
In  0.395  0.395  0.000
In  0.605  0.605  0.000

Values from the calculation:
Fermi-level density of states: 6.84 states/eV/f.u.
energy of formation from the pure elements: -103 kJ/mol of formula units
E: -4.242 eV/atom



No. 2
Material: CaScIn2
Method: DFT, PBE-GGA
State: optimized geometry

a b c (Å): 3.579 4.669 6.449
angles (deg): 90.00 90.00 90.00
Sites, in units of the cell vectors:
Ca  0.000  0.000  0.000
Sc  0.500  0.500  0.692
In  0.000  0.000  0.511
In  0.500  0.500  0.223

Values from the calculation:
Fermi-level density of states: 3.65 states/eV/f.u.
energy of formation from the pure elements: -66 kJ/mol of formula units
E: -3.623 eV/atom



No. 3
Material: Ca5ScIn6
Method: DFT, PBE-GGA
State: optimized geometry

a b c (Å): 9.277 9.277 5.364
angles (deg): 106.48 106.48 48.68
Sites, in units of the cell vectors:
Ca  0.000  0.000  0.000
Ca  0.163  0.163  0.663
Ca  0.323  0.323  0.323
Ca  0.677  0.677  0.677
Ca  0.837  0.837  0.337
Sc  0.500  0.500  0.000
In  0.107  0.575  0.841
In  0.275  0.725  0.500
In  0.425  0.893  0.159
In  0.575  0.107  0.841
In  0.725  0.275  0.500
In  0.893  0.425  0.159

Values from the calculation:
Fermi-level density of states: 6.43 states/eV/f.u.
energy of formation from the pure elements: -520 kJ/mol of formula units
E: -3.180 eV/atom



No. 4
Material: CaSc2In
Method: DFT, PBE-GGA
State: optimized geometry

a b c (Å): 11.603 11.603 11.603
angles (deg): 157.78 157.78 31.62
Sites, in units of the cell vectors:
Ca  0.000  0.000  0.000
Ca  0.750  0.250  0.500
Sc  0.148  0.625  0.023
Sc  0.375  0.398  0.523
Sc  0.602  0.125  0.977
Sc  0.875  0.852  0.477
In  0.250  0.750  0.500
In  0.500  0.500  0.000

Values from the calculation:
Fermi-level density of states: 4.98 states/eV/f.u.
energy of formation from the pure elements: 74 kJ/mol of formula units
E: -4.159 eV/atom



No. 5
Material: CaScIn4
Method: DFT, PBE-GGA
State: optimized geometry

a b c (Å): 3.762 3.762 11.171
angles (deg): 90.00 90.00 95.43
Sites, in units of the cell vectors:
Ca  0.000  0.000  0.000
Sc  0.500  0.500  0.500
In  0.000  0.000  0.347
In  0.000  0.000  0.653
In  0.500  0.500  0.194
In  0.500  0.500  0.806

Values from the calculation:
Fermi-level density of states: 5.06 states/eV/f.u.
energy of formation from the pure elements: -130 kJ/mol of formula units
E: -3.438 eV/atom



No. 6
Material: CaScIn
Method: DFT, PBE-GGA
State: optimized geometry

a b c (Å): 8.306 8.306 5.247
angles (deg): 90.00 90.00 152.91
Sites, in units of the cell vectors:
Ca  0.077  0.923  0.750
Ca  0.923  0.077  0.250
Sc  0.237  0.763  0.250
Sc  0.763  0.237  0.750
In  0.400  0.600  0.750
In  0.600  0.400  0.250

Values from the calculation:
Fermi-level density of states: 2.52 states/eV/f.u.
energy of formation from the pure elements: -79 kJ/mol of formula units
E: -3.963 eV/atom